No. 1
# PmZn2GeIr (PBE, optimized geometry)
data_PmZn2GeIr
_chemical_formula_sum 'Pm2 Zn4 Ge2 Ir2'
_cell_length_a 3.957
_cell_length_b 4.215
_cell_length_c 11.063
_cell_angle_alpha 90.00
_cell_angle_beta 90.00
_cell_angle_gamma 90.00
_space_group_name_H-M_alt 'I m m 2'
_space_group_IT_number 44
loop_
_space_group_symop_operation_xyz
'x,y,z'
'-x,-y,z'
'-x,y,z'
'x,-y,z'
'x+1/2,y+1/2,z+1/2'
'-x+1/2,-y+1/2,z+1/2'
'-x+1/2,y+1/2,z+1/2'
'x+1/2,-y+1/2,z+1/2'
loop_
_atom_site_label
_atom_site_fract_x
_atom_site_fract_y
_atom_site_fract_z
_atom_site_occupancy
Pm1 0.000 0.000 0.000 1
Zn1 0.000 0.000 0.618 1
Zn2 0.000 0.500 0.255 1
Ge1 0.000 0.000 0.390 1
Ir1 0.000 0.500 0.754 1
# Density of states at the Fermi level: 0.595 states/eV per atom
# Raw total energy: -46.1 eV for the cell shown

No. 2
# Pm2ZrGe3Ir4 (PBE, optimized geometry)
data_Pm2ZrGe3Ir4
_chemical_formula_sum 'Pm2 Zr1 Ge3 Ir4'
_cell_length_a 4.182
_cell_length_b 4.182
_cell_length_c 11.027
_cell_angle_alpha 90.00
_cell_angle_beta 90.00
_cell_angle_gamma 90.00
_space_group_name_H-M_alt 'P -4 m 2'
_space_group_IT_number 115
loop_
_space_group_symop_operation_xyz
'x,y,z'
'y,-x,-z'
'-x,-y,z'
'-y,x,-z'
'-x,y,z'
'-y,-x,-z'
'x,-y,z'
'y,x,-z'
loop_
_atom_site_label
_atom_site_fract_x
_atom_site_fract_y
_atom_site_fract_z
_atom_site_occupancy
Pm1 0.000 0.500 0.233 1
Zr1 0.000 0.000 0.500 1
Ge1 0.000 0.500 0.875 1
Ge2 0.500 0.500 0.500 1
Ir1 0.000 0.000 0.000 1
Ir2 0.000 0.500 0.650 1
Ir3 0.500 0.500 0.000 1
# Density of states at the Fermi level: 0.467 states/eV per atom
# Raw total energy: -75.5 eV for the cell shown

No. 3
# Pm2ZrGe4Ir3 (PBE, optimized geometry)
data_Pm2ZrGe4Ir3
_chemical_formula_sum 'Pm2 Zr1 Ge4 Ir3'
_cell_length_a 4.230
_cell_length_b 4.230
_cell_length_c 10.965
_cell_angle_alpha 90.00
_cell_angle_beta 90.00
_cell_angle_gamma 90.00
_space_group_name_H-M_alt 'P -4 m 2'
_space_group_IT_number 115
loop_
_space_group_symop_operation_xyz
'x,y,z'
'y,-x,-z'
'-x,-y,z'
'-y,x,-z'
'-x,y,z'
'-y,-x,-z'
'x,-y,z'
'y,x,-z'
loop_
_atom_site_label
_atom_site_fract_x
_atom_site_fract_y
_atom_site_fract_z
_atom_site_occupancy
Pm1 0.000 0.500 0.237 1
Zr1 0.000 0.000 0.500 1
Ge1 0.000 0.000 0.000 1
Ge2 0.000 0.500 0.655 1
Ge3 0.500 0.500 0.000 1
Ir1 0.000 0.500 0.880 1
Ir2 0.500 0.500 0.500 1
# Density of states at the Fermi level: 0.642 states/eV per atom
# Raw total energy: -70.6 eV for the cell shown